LaCd3In: optimized geometry, PBE-GGA.

Summary:
- E_form: 0.703 eV/atom
- Symmetry: No. 221
- DOS(E_F): 7.026 states/eV per cell
- ΔE to the lowest computed polymorph: 996 meV per atom

POSCAR file:
```
LaCd3In
1.0
6.124 0.000 0.000
0.000 6.124 0.000
0.000 0.000 6.124
Cd La In
3 1 1
Cartesian
0.000 0.000 3.062
0.000 3.062 0.000
3.062 0.000 0.000
0.000 0.000 0.000
3.062 3.062 3.062
```